BaCrCo2: relaxed, GGA-PBE.

```
BaCrCo2
1.0
-3.106 4.401 -3.123
-1.537 1.667 -5.799
-4.967 0.750 -3.679
Ba Co Cr
1 2 1
Cartesian
-7.194 5.104 -9.433
-8.965 6.360 -11.755
-2.444 1.734 -3.205
-5.423 3.847 -7.110
```

Summary:
- Crystal system: trigonal
- DOS at the Fermi energy: 4.8 states/eV/f.u.
- Total moment: 4.76 μB/cell
- Polymorph energy (0 for the lowest one): 58 meV/atom
- ΔH_f (0 K): 1.8 eV per formula unit
- SG: R3m, No. 160
- Volume: 21.29 Å³ per atom